The following is a PBE-GGA calculation of an optimized crystal structure of Ta2AlH, from Alexandria via LeMat-Bulk.

Cell and atoms, written as POSCAR:
```
Ta2AlH
1.0
-0.2892 1.2534 2.6176
-1.8340 -1.1328 1.9646
5.2356 -4.5944 4.4033
H Al Ta
1 1 2
direct
0.5000 0.5000 0.5000 H
0.0000 0.0000 0.0000 Al
0.1114 0.1114 0.6658 Ta
0.8886 0.8886 0.3342 Ta
```

Total magnetization   0.0 μB per cell
Energy relative to the lowest polymorph listed for this composition   10.499 kcal/mol of atoms